Record 1
Density functional theory data (PBE-GGA) for a geometry-optimized KMnZnGa2 structure.

The value obtained for the density of states at the Fermi level is 3.8 states/eV/f.u. For the formation energy, the calculation gives 442 meV/atom. Its total moment is 0.807 μB per atom. The calculation puts the polymorph energy (0 for the lowest one) at 364 meV per atom. The calculated volume comes out at 25.61 Å³/atom.

The structure belongs to space group P4/mmm (No. 123); the cell edges are 4.9810, 4.9810 and 5.1611 Å and the angles 90.00°, 90.00° and 90.00°. The distinct sites, in fractional coordinates, are K at (0.0000, 0.0000, 0.0000), Mn at (0.5000, 0.5000, 0.0000), Zn at (0.5000, 0.5000, 0.5000) and Ga at (0.0000, 0.5000, 0.5000).

Record 2
Density functional theory data (PBE-GGA) for a geometry-optimized ZnInB structure.

The value obtained for the density of states at the Fermi level is 0.7 states/eV/f.u. For the formation energy, the calculation gives 255 meV/atom. Its total moment is 0.000 μB per atom. The calculated volume comes out at 18.04 Å³/atom.

The structure belongs to space group P1 (No. 1); the cell edges are 3.1394, 5.7656 and 6.1982 Å and the angles 90.61°, 104.56° and 94.31°. The distinct sites, in fractional coordinates, are Zn at (0.0000, 0.0000, 0.0000), Zn at (0.3330, 0.9919, 0.6701), In at (0.1663, 0.5500, 0.3473), In at (0.4026, 0.5130, 0.8685), B at (0.4250, 0.0970, 0.3395) and B at (0.9325, 0.1042, 0.3404).

Record 3
Density functional theory data (PBE-GGA) for a geometry-optimized SrInPt2 structure.

The value obtained for the density of states at the Fermi level is 2.1 states/eV/f.u. For the formation energy, the calculation gives -689 meV/atom. Its total moment is 0.000 μB per atom. The calculated volume comes out at 24.40 Å³/atom.

The structure belongs to space group C2/m (No. 12); the cell edges are 8.0807, 4.6585 and 5.8370 Å and the angles 90.00°, 117.31° and 90.00°. The distinct sites, in fractional coordinates, are Sr at (0.0000, 0.0000, 0.0000), In at (0.0000, 0.5000, 0.5000) and Pt at (0.1995, 0.0000, 0.5985).

Record 4
Density functional theory data (PBE-GGA) for a geometry-optimized MnTl2As structure.

The value obtained for the density of states at the Fermi level is 1.9 states/eV/f.u. For the formation energy, the calculation gives 414 meV/atom. Its total moment is 1.117 μB per atom. The calculation puts the polymorph energy (0 for the lowest one) at 334 meV per atom. The calculated volume comes out at 25.03 Å³/atom.

The structure belongs to space group I-42d (No. 122); the cell edges are 8.2683, 8.2683 and 5.8569 Å and the angles 90.00°, 90.00° and 90.00°. The distinct sites, in fractional coordinates, are Mn at (0.0000, 0.0000, 0.0000), Tl at (0.2367, 0.2500, 0.6250) and As at (0.0000, 0.0000, 0.5000).

Record 5
Density functional theory data (PBE-GGA) for a geometry-optimized Ho6Sb3TeP2 structure.

The value obtained for the density of states at the Fermi level is 2.3 states/eV/f.u. The calculation puts the energy relative to the elements, uncorrected at -30.06 kcal/mol of atoms. Its total moment is 0.000 μB per atom. The calculated volume comes out at 26.88 Å³/atom.

The structure belongs to space group C2/m (No. 12); the cell edges are 18.4517, 4.2170 and 8.5207 Å and the angles 90.00°, 103.33° and 90.00°. The distinct sites, in fractional coordinates, are Ho at (0.0113, 0.0000, 0.2619), Ho at (0.1731, 0.5000, 0.1060), Ho at (0.1731, 0.5000, 0.5704), Sb at (0.0000, 0.5000, 0.5000), Sb at (0.1608, 0.0000, 0.8322), Te at (0.0000, 0.5000, 0.0000) and P at (0.1690, 0.0000, 0.3356).

Record 6
Density functional theory data (PBE-GGA) for a geometry-optimized LaY2Rh structure.

The value obtained for the density of states at the Fermi level is 5.6 states/eV/f.u. For the formation energy, the calculation gives -328 meV/atom. Its total moment is 0.000 μB per atom. The calculation puts the polymorph energy (0 for the lowest one) at 169 meV per atom. The calculated volume comes out at 28.38 Å³/atom.

The structure belongs to space group P4mm (No. 99); the cell edges are 3.5738, 3.5738 and 8.8866 Å and the angles 90.00°, 90.00° and 90.00°. The distinct sites, in fractional coordinates, are La at (0.0000, 0.0000, 0.0000), Y at (0.0000, 0.0000, 0.3762), Y at (0.5000, 0.5000, 0.6743) and Rh at (0.5000, 0.5000, 0.1964).

Record 7
Density functional theory data (PBE-GGA) for a geometry-optimized Li4Mg6Cd structure.

The value obtained for the density of states at the Fermi level is 4.3 states/eV/f.u. For the formation energy, the calculation gives -16 meV/atom. Its total moment is 0.000 μB per atom. The calculated volume comes out at 22.10 Å³/atom.

The structure belongs to space group Imm2 (No. 44); the cell edges are 3.2957, 14.6190 and 10.0927 Å and the angles 90.00°, 90.00° and 90.00°. The distinct sites, in fractional coordinates, are Li at (0.0000, 0.0000, 0.0000), Li at (0.0000, 0.1177, 0.7424), Li at (0.0000, 0.5000, 0.7478), Mg at (0.0000, 0.1907, 0.2419), Mg at (0.0000, 0.3359, 0.9996), Mg at (0.0000, 0.3379, 0.4840) and Cd at (0.0000, 0.0000, 0.4919).

Record 8
Density functional theory data (PBE-GGA) for a geometry-optimized NaMn2AgSn structure.

The value obtained for the density of states at the Fermi level is 3.5 states/eV/f.u. For the formation energy, the calculation gives 863 meV/atom. Its total moment is 1.736 μB per atom. The calculated volume comes out at 30.93 Å³/atom.

The structure belongs to space group P4/mmm (No. 123); the cell edges are 5.1481, 5.1481 and 5.8348 Å and the angles 90.00°, 90.00° and 90.00°. The distinct sites, in fractional coordinates, are Na at (0.0000, 0.0000, 0.0000), Mn at (0.0000, 0.5000, 0.5000), Ag at (0.5000, 0.5000, 0.0000) and Sn at (0.0000, 0.0000, 0.5000).

Record 9
Density functional theory data (PBE-GGA) for a geometry-optimized Sr4Pa3AuN8 structure.

The value obtained for the density of states at the Fermi level is 0.4 states/eV/f.u. The calculation puts the energy relative to the elements, uncorrected at -24.30 kcal/mol of atoms. Its total moment is 0.000 μB per atom. The calculated volume comes out at 16.93 Å³/atom.

The structure belongs to space group C2/m (No. 12); the cell edges are 12.5461, 7.2292 and 7.2868 Å and the angles 90.00°, 124.94° and 90.00°. The distinct sites, in fractional coordinates, are Sr at (0.0000, 0.0000, 0.0000), Sr at (0.0000, 0.5000, 0.0000), Sr at (0.2500, 0.2500, 0.0000), Pa at (0.0000, 0.0000, 0.5000), Pa at (0.2500, 0.2500, 0.5000), Au at (0.0000, 0.5000, 0.5000), N at (0.0259, 0.2170, 0.2946), N at (0.2361, 0.0000, 0.7085) and N at (0.2420, 0.0000, 0.2941).

Record 10
Density functional theory data (PBE-GGA) for a geometry-optimized Sc2FeW structure.

The value obtained for the density of states at the Fermi level is 4.7 states/eV/f.u. For the formation energy, the calculation gives 356 meV/atom. Its total moment is 0.618 μB per atom. The calculation puts the polymorph energy (0 for the lowest one) at 325 meV per atom. The calculated volume comes out at 17.70 Å³/atom.

The structure belongs to space group P4/mmm (No. 123); the cell edges are 4.2185, 4.2185 and 3.9796 Å and the angles 90.00°, 90.00° and 90.00°. The distinct sites, in fractional coordinates, are Sc at (0.0000, 0.5000, 0.0000), Fe at (0.0000, 0.0000, 0.5000) and W at (0.5000, 0.5000, 0.5000).

Record 11
Density functional theory data (PBE-GGA) for a geometry-optimized NaTa2Pt structure.

The value obtained for the density of states at the Fermi level is 4.8 states/eV/f.u. For the formation energy, the calculation gives 505 meV/atom. Its total moment is 0.000 μB per atom. The calculation puts the polymorph energy (0 for the lowest one) at 0 meV per atom. The calculated volume comes out at 17.44 Å³/atom.

The structure belongs to space group Fm-3m (No. 225); the cell edges are 6.5344, 6.5344 and 6.5344 Å and the angles 90.00°, 90.00° and 90.00°. The distinct sites, in fractional coordinates, are Na at (0.0000, 0.0000, 0.0000), Ta at (0.2500, 0.2500, 0.2500) and Pt at (0.0000, 0.0000, 0.5000).

Record 12
Density functional theory data (PBE-GGA) for a geometry-optimized SmErPd structure.

The value obtained for the density of states at the Fermi level is 3.5 states/eV/f.u. For the formation energy, the calculation gives -530 meV/atom. Its total moment is 0.000 μB per atom. The calculation puts the polymorph energy (0 for the lowest one) at 5 meV per atom. The calculated volume comes out at 25.89 Å³/atom.

The structure belongs to space group Cmcm (No. 63); the cell edges are 4.9840, 12.2700 and 5.0812 Å and the angles 90.00°, 90.00° and 90.00°. The distinct sites, in fractional coordinates, are Sm at (0.0000, 0.1029, 0.2500), Er at (0.0000, 0.3812, 0.2500) and Pd at (0.0000, 0.2406, 0.7500).